No. 1
First-principles (PBE-GGA) data for a relaxed SrHoCdIn crystal, as listed in the Alexandria database.

Summary:
The volume comes out at 29.43 Å³ per atom. For the formation energy, the calculation gives -0.339 eV per atom. The space group is F-43m.

```
SrHoCdIn
1.0
7.779 0.000 0.000
0.000 7.779 0.000
0.000 0.000 7.779
Sr Ho Cd In
4 4 4 4
direct
0.000 0.000 0.000 Sr
0.000 0.500 0.500 Sr
0.500 0.000 0.500 Sr
0.500 0.500 0.000 Sr
0.000 0.000 0.500 Ho
0.000 0.500 0.000 Ho
0.500 0.000 0.000 Ho
0.500 0.500 0.500 Ho
0.250 0.250 0.750 Cd
0.250 0.750 0.250 Cd
0.750 0.250 0.250 Cd
0.750 0.750 0.750 Cd
0.250 0.250 0.250 In
0.250 0.750 0.750 In
0.750 0.250 0.750 In
0.750 0.750 0.250 In
```

No. 2
First-principles (PBE-GGA) data for a relaxed TiC4 crystal, as listed in the Alexandria database.

Summary:
The volume comes out at 13.14 Å³ per atom. For the formation energy, the calculation gives 3.347 eV per atom. The space group is Pm-3m.

```
TiC4
1.0
4.035 0.000 0.000
0.000 4.035 0.000
0.000 0.000 4.035
Ti C
1 4
direct
0.000 0.000 0.000 Ti
0.000 0.000 0.500 C
0.000 0.500 0.000 C
0.500 0.000 0.000 C
0.500 0.500 0.500 C
```